This record from the Alexandria database describes crystalline CsTi3Sb at its relaxed geometry. The functional is PBE-GGA.

Values from the calculation:
M_tot   1.233 μB/f.u.
Formation energy from raw total energies   1.82 eV per atom

Unit cell a=4.9612 b=4.9612 c=4.9612 alpha=90.00 beta=90.00 gamma=90.00
With the nearest neighbours (Å) after each atom.
Space group Pm-3m (No. 221)
One atom of each set of equivalent atoms:
Cs  0.0000  0.0000  0.0000 x1  6 Ti 2.48
Ti  0.0000  0.0000  0.5000 x3  2 Cs 2.48
Sb  0.5000  0.5000  0.5000 x1  12 Ti 3.51